Computed, not measured: an optimized crystal structure of InPdSe2N at the GGA-PBE level of DFT.

symmetry = P4/mmm
DFT total energy = -3.474 eV per atom
crystal system = tetragonal
ρ = 5.7 g/cm3
E_form (uncorrected) = 1.171 eV/atom
offset from the most stable computed form = 661.0 meV/atom
size of the total moment = 0.00 μB per cell

a = 5.346 Å, b = 5.346 Å, c = 4.006 Å
α = 90.00°, β = 90.00°, γ = 90.00°
Positions (direct):
1 N 0.000 0.000 0.500
2 Se 0.000 0.500 0.000
3 Se 0.500 0.000 0.000
4 Pd 0.500 0.500 0.500
5 In 0.000 0.000 0.000

=====

Computed, not measured: an optimized crystal structure of InPdSeN2 at the GGA-PBE level of DFT.

symmetry = P4/mmm
DFT total energy = -4.456 eV per atom
crystal system = tetragonal
ρ = 5.8 g/cm3
E_form (uncorrected) = 1.157 eV/atom
offset from the most stable computed form = 0.0 meV/atom
size of the total moment = 3.36 μB per cell

a = 4.068 Å, b = 4.068 Å, c = 5.644 Å
α = 90.00°, β = 90.00°, γ = 90.00°
Positions (direct):
1 N 0.000 0.500 0.000
2 N 0.500 0.000 0.000
3 Se 0.000 0.000 0.500
4 Pd 0.000 0.000 0.000
5 In 0.500 0.500 0.500

=====

Computed, not measured: an optimized crystal structure of Sr2InPdN at the GGA-PBE level of DFT.

symmetry = P4/mmm
DFT total energy = -4.281 eV per atom
crystal system = tetragonal
ρ = 5.6 g/cm3
E_form (uncorrected) = -0.357 eV/atom
size of the total moment = 0.00 μB per cell

a = 5.501 Å, b = 5.501 Å, c = 4.007 Å
α = 90.00°, β = 90.00°, γ = 90.00°
Positions (direct):
1 Sr 0.000 0.500 0.000
2 Sr 0.500 0.000 0.000
3 N 0.000 0.000 0.000
4 Pd 0.000 0.000 0.500
5 In 0.500 0.500 0.500

=====

Computed, not measured: an optimized crystal structure of InTePdN2 at the GGA-PBE level of DFT.

symmetry = P4/mmm
DFT total energy = -4.293 eV per atom
crystal system = tetragonal
ρ = 6.0 g/cm3
E_form (uncorrected) = 1.252 eV/atom
offset from the most stable computed form = 0.0 meV/atom
size of the total moment = 3.46 μB per cell

a = 4.165 Å, b = 4.165 Å, c = 5.964 Å
α = 90.00°, β = 90.00°, γ = 90.00°
Positions (direct):
1 N 0.000 0.500 0.000
2 N 0.500 0.000 0.000
3 Te 0.000 0.000 0.500
4 Pd 0.000 0.000 0.000
5 In 0.500 0.500 0.500

=====

Computed, not measured: an optimized crystal structure of InTePdN2 at the GGA-PBE level of DFT.

symmetry = P4/mmm
DFT total energy = -4.094 eV per atom
crystal system = tetragonal
ρ = 5.7 g/cm3
E_form (uncorrected) = 1.451 eV/atom
offset from the most stable computed form = 198.8 meV/atom
size of the total moment = 3.79 μB per cell

a = 4.158 Å, b = 4.158 Å, c = 6.302 Å
α = 90.00°, β = 90.00°, γ = 90.00°
Positions (direct):
1 N 0.000 0.500 0.000
2 N 0.500 0.000 0.000
3 Te 0.000 0.000 0.500
4 Pd 0.500 0.500 0.500
5 In 0.000 0.000 0.000

=====

Computed, not measured: an optimized crystal structure of ThInPdN at the GGA-PBE level of DFT.

symmetry = P4/nmm
DFT total energy = -6.898 eV per atom
crystal system = tetragonal
ρ = 9.6 g/cm3
E_form (uncorrected) = -0.979 eV/atom
size of the total moment = 0.00 μB per cell

a = 4.311 Å, b = 4.311 Å, c = 8.655 Å
α = 90.00°, β = 90.00°, γ = 90.00°
Positions (direct):
1 Th 0.000 0.500 0.878
2 Th 0.500 0.000 0.122
3 In 0.000 0.000 0.500
4 In 0.500 0.500 0.500
5 Pd 0.500 0.000 0.694
6 Pd 0.000 0.500 0.306
7 N 0.500 0.500 0.000
8 N 0.000 0.000 0.000

=====

Computed, not measured: an optimized crystal structure of Zr2InPdN at the GGA-PBE level of DFT.

symmetry = P4/mmm
DFT total energy = -7.233 eV per atom
crystal system = tetragonal
ρ = 7.7 g/cm3
E_form (uncorrected) = -0.563 eV/atom
size of the total moment = 0.00 μB per cell

a = 4.368 Å, b = 4.725 Å, c = 4.368 Å
α = 90.00°, β = 90.00°, γ = 90.00°
Positions (direct):
1 N 0.000 0.000 0.000
2 Zr 0.000 0.000 0.500
3 Zr 0.500 0.000 0.000
4 Pd 0.500 0.500 0.500
5 In 0.000 0.500 0.000

=====

Computed, not measured: an optimized crystal structure of Pm7In3N2 at the GGA-PBE level of DFT.

symmetry = Cmmm
DFT total energy = -5.640 eV per atom
crystal system = orthorhombic
ρ = 7.5 g/cm3
E_form (uncorrected) = -0.797 eV/atom
size of the total moment = 0.00 μB per cell

a = 4.926 Å, b = 5.024 Å, c = 12.689 Å
α = 101.42°, β = 90.00°, γ = 90.00°
Positions (direct):
1 Pm 0.000 0.398 0.796
2 Pm 0.000 0.801 0.602
3 Pm 0.000 0.000 0.000
4 Pm 0.000 0.602 0.204
5 Pm 0.500 0.097 0.193
6 Pm 0.500 0.903 0.807
7 Pm 0.000 0.199 0.398
8 In 0.500 0.500 0.000
9 In 0.500 0.696 0.391
10 In 0.500 0.304 0.609
11 N 0.000 0.899 0.797
12 N 0.000 0.101 0.203

=====

Which value of size of the total moment does entry 7 give?
0.00 μB per cell

=====

Which value of size of the total moment does entry 6 give?
0.00 μB per cell